Entry P
# Y2HfZnW

Y2HfZnW after structural relaxation (PBE, the Alexandria database).

Results
V ... 28.91 Å³ per atom

Cell and atoms, written as POSCAR:
```
Y2HfZnW
1.0
5.3928 0.0000 0.0000
0.0000 4.9711 0.0000
0.0000 0.0000 5.3928
Zn Y Hf W
1 2 1 1
Cartesian
0.0000 2.4856 0.0000 Zn
2.6964 0.0000 0.0000 Y
0.0000 0.0000 2.6964 Y
0.0000 0.0000 0.0000 Hf
2.6964 2.4856 2.6964 W
```



Entry Q
# Y2HfZnW

Y2HfZnW after structural relaxation (PBE, the Alexandria database).

Results
V ... 29.83 Å³ per atom

Cell and atoms, written as POSCAR:
```
Y2HfZnW
1.0
5.4597 0.0000 0.0000
0.0000 5.0031 0.0000
0.0000 0.0000 5.4597
W Y Zn Hf
1 2 1 1
Cartesian
0.0000 0.0000 0.0000 W
2.7298 0.0000 0.0000 Y
0.0000 0.0000 2.7298 Y
2.7298 2.5016 2.7298 Zn
0.0000 2.5016 0.0000 Hf
```



Stability, lowest: entry P



Entry P
# HfZn3W

HfZn3W after structural relaxation (PBE, the Alexandria database).

Results
V ... 24.61 Å³ per atom

Cell and atoms, written as POSCAR:
```
HfZn3W
1.0
-3.0536 -3.9207 -0.2071
2.2971 -1.9969 3.9338
-3.1840 2.3194 3.0367
Zn W Hf
3 1 1
Cartesian
1.1486 -0.9985 1.9669 Zn
-1.5920 1.1597 1.5184 Zn
-1.5268 -1.9604 -0.1036 Zn
-1.9703 -1.7991 3.3817 W
0.0000 0.0000 0.0000 Hf
```



Entry Q
# HfZn3W

HfZn3W after structural relaxation (PBE, the Alexandria database).

Results
V ... 21.07 Å³ per atom

Cell and atoms, written as POSCAR:
```
HfZn3W
1.0
4.7231 0.0000 0.0000
0.0000 4.7231 0.0000
0.0000 0.0000 4.7231
W Zn Hf
1 3 1
Cartesian
0.0000 0.0000 0.0000 W
2.3615 0.0000 0.0000 Zn
0.0000 0.0000 2.3615 Zn
0.0000 2.3615 0.0000 Zn
2.3615 2.3615 2.3615 Hf
```



Stability, lowest: entry P



Entry P
# Hf3ZnW

Hf3ZnW after structural relaxation (PBE, the Alexandria database).

Results
V ... 22.22 Å³ per atom

Cell and atoms, written as POSCAR:
```
Hf3ZnW
1.0
4.8074 0.0000 0.0000
0.0000 4.8074 0.0000
0.0000 0.0000 4.8074
Hf W Zn
3 1 1
Cartesian
0.0000 0.0000 2.4037 Hf
0.0000 2.4037 0.0000 Hf
2.4037 0.0000 0.0000 Hf
2.4037 2.4037 2.4037 W
0.0000 0.0000 0.0000 Zn
```



Entry Q
# Hf3ZnW

Hf3ZnW after structural relaxation (PBE, the Alexandria database).

Results
V ... 25.85 Å³ per atom

Cell and atoms, written as POSCAR:
```
Hf3ZnW
1.0
5.0562 0.0000 0.0000
0.0000 5.0562 0.0000
0.0000 0.0000 5.0562
W Zn Hf
1 1 3
Cartesian
0.0000 0.0000 0.0000 W
2.5281 2.5281 2.5281 Zn
0.0000 0.0000 2.5281 Hf
0.0000 2.5281 0.0000 Hf
2.5281 0.0000 0.0000 Hf
```



Stability, lowest: entry P



Entry P
# Y3Hf

Y3Hf after structural relaxation (PBE, the Alexandria database).

Results
V ... 29.34 Å³ per atom

Cell and atoms, written as POSCAR:
```
Y3Hf
1.0
-2.3361 2.0386 1.6313
2.4652 -1.4889 5.3910
3.3697 3.9773 -3.9071
Y Hf
3 1
Cartesian
0.0439 0.2873 3.4660 Y
0.0819 3.3133 -0.2611 Y
2.6066 1.7031 1.6044 Y
0.0092 -0.0055 0.0200 Hf
```



Entry Q
# Y3Hf

Y3Hf after structural relaxation (PBE, the Alexandria database).

Results
V ... 28.91 Å³ per atom

Cell and atoms, written as POSCAR:
```
Y3Hf
1.0
-4.1865 0.0640 2.5076
-2.0552 -2.8848 -3.3576
4.5515 -2.5051 2.9135
Y Hf
3 1
Cartesian
-1.3779 -1.9257 2.4980 Y
-3.1208 -1.4104 -0.4250 Y
-0.3123 -3.4001 -0.4345 Y
0.0000 0.0000 0.0000 Hf
```



Stability, lowest: entry Q



Entry P
# Y3Hf

Y3Hf after structural relaxation (PBE, the Alexandria database).

Results
V ... 28.89 Å³ per atom

Cell and atoms, written as POSCAR:
```
Y3Hf
1.0
4.8707 0.0000 0.0000
0.0000 4.8707 0.0000
0.0000 0.0000 4.8707
Hf Y
1 3
Cartesian
0.0000 0.0000 0.0000 Hf
2.4354 0.0000 2.4354 Y
0.0000 2.4354 2.4354 Y
2.4354 2.4354 0.0000 Y
```



Entry Q
# Y3Hf

Y3Hf after structural relaxation (PBE, the Alexandria database).

Results
V ... 29.34 Å³ per atom

Cell and atoms, written as POSCAR:
```
Y3Hf
1.0
-1.8847 -0.4511 2.9139
4.5288 -1.4298 2.7078
0.9442 5.8674 1.5190
Y Hf
3 1
Cartesian
2.1161 3.9941 4.0883 Y
-0.4669 2.7288 2.2218 Y
2.5657 1.1574 1.8386 Y
0.0028 0.0172 0.0044 Hf
```



Stability, lowest: entry P



Entry P
# YHf3Zn

YHf3Zn after structural relaxation (PBE, the Alexandria database).

Results
V ... 27.63 Å³ per atom

Cell and atoms, written as POSCAR:
```
YHf3Zn
1.0
-4.7523 -0.7741 -1.8821
1.9859 -2.8079 -3.8597
-0.4443 -4.2710 2.8785
Hf Zn Y
3 1 1
Cartesian
0.9930 -1.4039 -1.9298 Hf
-2.3761 -0.3870 -0.9410 Hf
-0.2222 -2.1355 1.4393 Hf
-1.6053 -3.9265 -1.4316 Zn
0.0000 0.0000 0.0000 Y
```



Entry Q
# YHf3Zn

YHf3Zn after structural relaxation (PBE, the Alexandria database).

Results
V ... 25.68 Å³ per atom

Cell and atoms, written as POSCAR:
```
YHf3Zn
1.0
-2.3092 4.2790 -1.3438
-4.4556 -2.3616 0.1365
-0.5133 1.2494 4.8604
Zn Y Hf
1 1 3
Cartesian
0.0000 0.0000 0.0000 Zn
-3.6390 1.5834 1.8265 Y
-2.2278 -1.1808 0.0682 Hf
-0.2567 0.6247 2.4302 Hf
-1.1546 2.1395 -0.6719 Hf
```



Stability, lowest: entry P



Entry P
# YHfZr

YHfZr after structural relaxation (PBE, the Alexandria database).

Results
V ... 25.51 Å³ per atom

Cell and atoms, written as POSCAR:
```
YHfZr
1.0
3.3221 0.0000 0.0000
1.6611 2.8770 0.0000
1.6611 0.9590 8.0079
Zr Hf Y
1 1 1
Cartesian
1.6611 0.9590 5.3153 Zr
3.3221 1.9180 2.9006 Hf
1.6611 0.9590 0.1434 Y
```



Entry Q
# YHfZr

YHfZr after structural relaxation (PBE, the Alexandria database).

Results
V ... 25.33 Å³ per atom

Cell and atoms, written as POSCAR:
```
YHfZr
1.0
-2.6883 1.1671 1.4804
0.8607 -3.1432 0.3999
4.4636 2.0481 6.4912
Zr Hf Y
1 1 1
Cartesian
2.5798 -0.3748 4.9804 Zr
0.0445 0.4414 3.3740 Hf
0.0117 0.0054 0.0170 Y
```



Stability, lowest: entry Q



Entry P
# HfZn4

HfZn4 after structural relaxation (PBE, the Alexandria database).

Results
V ... 16.13 Å³ per atom

Cell and atoms, written as POSCAR:
```
HfZn4
1.0
-3.4153 -2.3560 -0.8795
3.2098 -3.3686 -3.4409
1.4802 -1.0405 7.2659
Hf Zn
2 8
Cartesian
-1.4284 -3.4007 4.4300 Hf
2.7031 -3.3644 -1.4845 Hf
0.4420 -4.4119 -0.1245 Zn
-1.1559 -2.7349 1.5885 Zn
0.1655 -5.0537 2.6686 Zn
-0.1027 -2.8623 -2.1602 Zn
2.4307 -4.0302 1.3570 Zn
0.8327 -2.3532 3.0700 Zn
1.1092 -1.7113 0.2769 Zn
-1.7076 -1.1780 -0.4397 Zn
```



Entry Q
# HfZn4

HfZn4 after structural relaxation (PBE, the Alexandria database).

Results
V ... 16.49 Å³ per atom

Cell and atoms, written as POSCAR:
```
HfZn4
1.0
-2.1997 -7.1981 -0.4111
6.2147 0.9694 -4.1543
1.4738 1.7710 7.1772
Zn Hf
16 4
Cartesian
3.6628 0.0134 3.2030 Zn
-0.4749 -3.5504 4.4263 Zn
4.8480 -0.1870 0.3701 Zn
4.3465 -3.5300 2.0682 Zn
3.9296 -2.4293 -1.5270 Zn
-0.4578 -1.4981 -0.0856 Zn
2.6587 0.9476 1.0453 Zn
-0.2510 -1.8767 2.3398 Zn
1.5592 -2.0285 4.1388 Zn
1.2934 0.2017 -0.8646 Zn
5.0298 1.7927 1.9776 Zn
0.6408 -4.2708 2.2417 Zn
1.8260 -4.4712 -0.5912 Zn
0.3067 0.3686 1.4937 Zn
2.6266 -4.0748 -2.9866 Zn
1.3884 -2.1539 -1.5787 Zn
2.3889 -1.9401 1.1367 Hf
0.8324 1.0002 4.0535 Hf
-1.2423 -4.0653 -0.2322 Hf
3.5099 0.5475 -2.3462 Hf
```



Entry R
# HfZn4

HfZn4 after structural relaxation (PBE, the Alexandria database).

Results
V ... 29.68 Å³ per atom

Cell and atoms, written as POSCAR:
```
HfZn4
1.0
5.2944 0.0000 0.0000
0.0000 5.2944 0.0000
0.0000 0.0000 5.2944
Zn Hf
4 1
Cartesian
0.0000 2.6472 2.6472 Zn
2.6472 2.6472 0.0000 Zn
0.0000 0.0000 0.0000 Zn
2.6472 0.0000 2.6472 Zn
2.6472 2.6472 2.6472 Hf
```



Stability, lowest: entry R



Entry P
# HfZr4Zn

HfZr4Zn after structural relaxation (PBE, the Alexandria database).

Results
V ... 24.06 Å³ per atom

Cell and atoms, written as POSCAR:
```
HfZr4Zn
1.0
6.4951 0.0000 0.0000
0.0000 6.8453 0.0000
0.0000 0.0000 6.4944
Zr Zn Hf
8 2 2
Cartesian
5.0749 5.2636 0.2018 Zr
1.4201 5.2637 3.0454 Zr
4.6677 5.2636 3.4490 Zr
1.8275 5.2637 6.2926 Zr
1.4202 1.5816 0.2018 Zr
5.0750 1.5816 3.0454 Zr
1.8274 1.5816 3.4490 Zr
4.6677 1.5816 6.2926 Zr
0.0000 0.0000 4.8709 Zn
3.2476 0.0000 1.6237 Zn
3.2476 3.4226 4.8707 Hf
0.0000 3.4226 1.6235 Hf
```



Entry Q
# HfZr4Zn

HfZr4Zn after structural relaxation (PBE, the Alexandria database).

Results
V ... 21.72 Å³ per atom

Cell and atoms, written as POSCAR:
```
HfZr4Zn
1.0
3.2053 -0.0006 0.0001
0.0006 3.2053 0.0001
-0.0004 -0.0004 12.6851
Zr Hf Zn
4 1 1
Cartesian
1.6026 1.6020 10.4735 Zr
-0.0002 -0.0002 4.4799 Zr
3.2056 3.2044 8.2054 Zr
1.6028 1.6022 2.2118 Zr
0.0000 0.0000 0.0000 Hf
1.6027 1.6021 6.3426 Zn
```



Stability, lowest: entry P



Entry P
# HfZrZn3

HfZrZn3 after structural relaxation (PBE, the Alexandria database).

Results
V ... 17.89 Å³ per atom

Cell and atoms, written as POSCAR:
```
HfZrZn3
1.0
4.2651 0.0000 0.0000
0.0000 3.2347 0.0000
0.0000 -1.6174 12.9643
Zn Hf Zr
6 2 2
Cartesian
3.1988 1.6174 3.1256 Zn
3.1988 0.0000 8.4702 Zn
1.0663 1.6174 4.4941 Zn
1.0663 0.0000 12.3424 Zn
1.0663 0.0000 9.8387 Zn
3.1988 1.6174 0.6219 Zn
1.0663 1.6174 7.3607 Hf
3.1988 0.0000 5.6036 Hf
3.1988 1.6174 11.0716 Zr
1.0663 0.0000 1.8927 Zr
```



Entry Q
# HfZrZn3

HfZrZn3 after structural relaxation (PBE, the Alexandria database).

Results
V ... 23.68 Å³ per atom

Cell and atoms, written as POSCAR:
```
HfZrZn3
1.0
4.9105 0.0000 0.0000
0.0000 4.9105 0.0000
0.0000 0.0000 4.9105
Zn Zr Hf
3 1 1
Cartesian
0.0000 2.4552 0.0000 Zn
2.4552 0.0000 0.0000 Zn
0.0000 0.0000 2.4552 Zn
0.0000 0.0000 0.0000 Zr
2.4552 2.4552 2.4552 Hf
```



Entry R
# HfZrZn3

HfZrZn3 after structural relaxation (PBE, the Alexandria database).

Results
V ... 23.61 Å³ per atom

Cell and atoms, written as POSCAR:
```
HfZrZn3
1.0
-0.8657 -1.9781 -4.4045
4.2970 -2.3564 0.2138
-2.2020 -3.8205 2.1487
Zr Hf Zn
1 1 3
Cartesian
0.6146 -4.0775 -1.0210 Zr
0.0000 0.0000 0.0000 Hf
2.1485 -1.1782 0.1069 Zn
-0.4328 -0.9891 -2.2023 Zn
-1.1010 -1.9103 1.0743 Zn
```



Stability, lowest: entry Q



Entry P
# HfZr

HfZr after structural relaxation (PBE, the Alexandria database).

Results
V ... 31.27 Å³ per atom

Cell and atoms, written as POSCAR:
```
HfZr
1.0
-2.4733 4.4990 -0.0888
-2.6572 -4.3858 0.2638
0.1913 0.2131 5.4705
Hf Zr
2 2
Cartesian
-2.4868 1.5906 1.3964 Hf
-2.4524 -1.2644 4.2491 Hf
-2.3912 1.6972 4.1316 Zr
-2.5481 -1.3710 1.5139 Zr
```



Entry Q
# HfZr

HfZr after structural relaxation (PBE, the Alexandria database).

Results
V ... 40.61 Å³ per atom

Cell and atoms, written as POSCAR:
```
HfZr
1.0
7.8695 0.0000 0.0000
0.0000 7.8695 0.0000
0.0000 0.0000 7.8695
Zr Hf
6 6
Cartesian
3.9347 1.9674 0.0000 Zr
0.0000 3.9347 1.9674 Zr
5.9021 0.0000 3.9347 Zr
1.9674 0.0000 3.9347 Zr
3.9347 5.9021 0.0000 Zr
0.0000 3.9347 5.9021 Zr
1.9674 3.9347 0.0000 Hf
0.0000 5.9021 3.9347 Hf
3.9347 0.0000 1.9674 Hf
3.9347 0.0000 5.9021 Hf
0.0000 1.9674 3.9347 Hf
5.9021 3.9347 0.0000 Hf
```



Entry R
# HfZr

HfZr after structural relaxation (PBE, the Alexandria database).

Results
V ... 24.39 Å³ per atom

Cell and atoms, written as POSCAR:
```
HfZr
1.0
5.7999 0.0000 0.0000
0.0000 5.7999 0.0000
0.0000 0.0000 5.7999
Zr Hf
4 4
Cartesian
0.0000 2.9000 2.9000 Zr
2.9000 0.0000 2.9000 Zr
0.0000 0.0000 0.0000 Zr
2.9000 2.9000 0.0000 Zr
0.0000 2.9000 0.0000 Hf
0.0000 0.0000 2.9000 Hf
2.9000 0.0000 0.0000 Hf
2.9000 2.9000 2.9000 Hf
```



Entry S
# HfZr

HfZr after structural relaxation (PBE, the Alexandria database).

Results
V ... 24.46 Å³ per atom

Cell and atoms, written as POSCAR:
```
HfZr
1.0
-3.2753 -3.6407 -7.2887
2.4134 -7.9366 2.8799
-4.4984 -0.5371 2.2897
Zr Hf
8 8
Cartesian
-3.6029 -7.7133 -3.2608 Zr
-1.7002 -8.4241 0.3105 Zr
-3.6601 -3.6903 -2.4296 Zr
-0.2923 -7.9795 -2.4458 Zr
0.5828 -5.9400 -0.2483 Zr
-0.5696 -3.5979 -1.9630 Zr
-1.7575 -4.4011 1.1416 Zr
-1.4447 -5.6373 -4.1606 Zr
-2.2285 -3.0433 -5.0920 Hf
-4.6201 -5.2115 -4.6724 Hf
-1.3638 -9.1584 -4.8275 Hf
0.5019 -2.4189 0.4186 Hf
-0.7402 -6.9029 2.5533 Hf
-2.6794 -10.1339 -2.0143 Hf
1.3666 -8.5340 0.6831 Hf
-2.6809 -1.9805 -0.1049 Hf
```



Stability, lowest: entry Q